Entry 1:
LaGa: relaxed, GGA-PBE.

a = 6.8557 Å, b = 6.8557 Å, c = 6.8557 Å
α = 90.00°, β = 90.00°, γ = 90.00°
Atoms (fractional coordinates):
1 La 0.0000 0.0000 0.0000
2 La 0.0000 0.5000 0.5000
3 La 0.5000 0.0000 0.5000
4 La 0.5000 0.5000 0.0000
5 Ga 0.2500 0.2500 0.2500
6 Ga 0.2500 0.7500 0.7500
7 Ga 0.7500 0.2500 0.7500
8 Ga 0.7500 0.7500 0.2500

Results
magnetization = 0.00 μB per formula unit
ΔE_f = 0.339 eV per atom
uncorrected energy = -3.638 eV per atom
volume = 80.6 Å³/f.u.

Entry 2:
La3Ga2: relaxed, GGA-PBE.

a = 5.0428 Å, b = 8.2296 Å, c = 11.5282 Å
α = 89.31°, β = 90.00°, γ = 107.84°
Atoms (fractional coordinates):
1 La 0.8313 0.6627 0.0127
2 La 0.1687 0.3373 0.9873
3 La 0.8353 0.6707 0.3205
4 La 0.1647 0.3293 0.6795
5 La 0.1667 0.3334 0.3334
6 La 0.8333 0.6666 0.6666
7 La 0.4980 0.9960 0.3462
8 La 0.5020 0.0040 0.6538
9 La 0.5000 0.0000 0.0000
10 Ga 0.6725 0.3450 0.5046
11 Ga 0.3275 0.6550 0.4954
12 Ga 0.6608 0.3217 0.1621
13 Ga 0.3392 0.6783 0.8379
14 Ga 0.0059 0.0117 0.1713
15 Ga 0.9941 0.9883 0.8287

Results
magnetization = 0.00 μB per formula unit
ΔE_f = -0.390 eV per atom
uncorrected energy = -4.557 eV per atom
volume = 151.8 Å³/f.u.